# Li7Mn2Co3O12

Li7Mn2Co3O12 after structural relaxation (GGA+U, the Alexandria database).

Lattice parameters (Å, degrees): 15.1019 2.8649 10.3038 90.00 109.12 90.00
With the nearest neighbours (Å) after each atom.
Space group C2/m (No. 12)
One atom of each set of equivalent atoms:
Li1 0.0000 0.0000 0.0000 x2  6 O 2.06-2.11
Li2 0.0060 0.5000 0.7871 x4  3 O 1.97-2.06
Li3 0.1585 0.0000 0.4088 x4  5 O 2.01-2.18
Li4 0.1671 0.0000 0.9297 x4  4 O 1.99-2.12
Mn1 0.1707 0.5000 0.6748 x4  6 O 1.92-1.95
Co1 0.0000 0.0000 0.5000 x2  6 O 2.04-2.22
Co2 0.1603 0.5000 0.1627 x4  6 O 1.84-2.04
O1 0.0898 0.0000 0.2056 x4  2 Co 1.92, 4 Li 2.01-2.11
O2 0.0923 0.5000 0.4853 x4  1 Mn 1.92, 2 Co 2.04, 2 Li 2.05
O3 0.0922 0.5000 0.9784 x4  1 Co 1.84, 5 Li 1.97-2.06
O4 0.0967 0.0000 0.7146 x4  2 Mn 1.94, 1 Li 2.12
O5 0.2429 0.0000 0.1379 x4  1 Mn 1.94, 2 Co 1.97, 1 Li 2.07
O6 0.2485 0.0000 0.6415 x4  2 Mn 1.95, 1 Co 2.04, 2 Li 2.18

DOS at the Fermi energy	9.63	states/eV/cell
crystal system	monoclinic
calculated volume	421.21	Å³ per cell
energy above the most stable polymorph in this dataset	52	meV per atom